1.
{"formula": "AgAs2Os", "functional": "GGA-PBE", "state": "relaxed", "cell": [[2.967, 0.000, 0.000], [0.000, 4.879, 0.000], [0.000, 0.000, 10.038]], "species": ["Ag", "Ag", "As", "As", "As", "As", "Os", "Os"], "frac_coords": [[0.000, 0.000, 0.000], [0.500, 0.500, 0.000], [0.000, 0.000, 0.559], [0.000, 0.500, 0.237], [0.500, 0.000, 0.237], [0.500, 0.500, 0.559], [0.000, 0.500, 0.756], [0.500, 0.000, 0.756]], "e_form_ev_per_atom": 0.48, "sg": "No. 35"}

***

2.
{"formula": "GaCu3F8", "functional": "GGA-PBE", "state": "relaxed", "cell": [[2.701, -4.864, 0.000], [2.701, 4.864, 0.000], [0.000, 0.000, 6.144]], "species": ["Ga", "Cu", "Cu", "Cu", "F", "F", "F", "F", "F", "F", "F", "F"], "frac_coords": [[0.000, 0.000, 0.000], [0.000, 0.000, 0.500], [0.000, 0.500, 0.255], [0.500, 0.000, 0.745], [0.201, 0.799, 0.500], [0.203, 0.797, 0.000], [0.220, 0.263, 0.225], [0.263, 0.220, 0.775], [0.737, 0.780, 0.775], [0.780, 0.737, 0.225], [0.797, 0.203, 0.000], [0.799, 0.201, 0.500]], "sg": "No. 21", "raw_formation_energy_ev_per_atom": -1.776}

***

3.
{"formula": "CaMn2Os", "functional": "GGA-PBE", "state": "relaxed", "cell": [[2.877, 0.000, 0.000], [0.000, 3.579, 0.000], [0.000, 0.000, 6.800]], "species": ["Ca", "Mn", "Mn", "Os"], "frac_coords": [[0.000, 0.000, 0.000], [0.500, 0.500, 0.321], [0.500, 0.500, 0.679], [0.000, 0.000, 0.500]], "e_form_ev_per_atom": 0.43, "sg": "No. 47"}

***

4.
{"formula": "Tb6Cd3Ir", "functional": "GGA-PBE", "state": "relaxed", "cell": [[9.129, 0.000, 0.000], [0.000, 5.279, 0.000], [-3.704, 0.000, 10.925]], "species": ["Tb", "Tb", "Tb", "Tb", "Tb", "Tb", "Tb", "Tb", "Tb", "Tb", "Tb", "Tb", "Cd", "Cd", "Cd", "Cd", "Cd", "Cd", "Ir", "Ir"], "frac_coords": [[0.034, 0.250, 0.415], [0.185, 0.750, 0.164], [0.278, 0.250, 0.001], [0.352, 0.750, 0.832], [0.375, 0.250, 0.349], [0.392, 0.250, 0.648], [0.608, 0.750, 0.352], [0.625, 0.750, 0.651], [0.648, 0.250, 0.168], [0.722, 0.750, 0.999], [0.815, 0.250, 0.836], [0.966, 0.750, 0.585], [0.010, 0.750, 0.869], [0.085, 0.250, 0.719], [0.270, 0.750, 0.473], [0.730, 0.250, 0.527], [0.915, 0.750, 0.281], [0.990, 0.250, 0.131], [0.458, 0.750, 0.095], [0.542, 0.250, 0.905]], "e_form_ev_per_atom": -0.35, "sg": "No. 11"}

***

5.
{"formula": "CsKTl2Br4", "functional": "GGA-PBE", "state": "relaxed", "cell": [[8.431, 0.000, 0.000], [0.000, 4.892, 0.000], [-2.840, 0.000, 7.982]], "species": ["Cs", "K", "Tl", "Tl", "Br", "Br", "Br", "Br"], "frac_coords": [[0.000, 0.000, 0.000], [0.000, 0.500, 0.500], [0.500, 0.000, 0.500], [0.500, 0.500, 0.000], [0.255, 0.000, 0.741], [0.263, 0.500, 0.266], [0.737, 0.500, 0.734], [0.745, 0.000, 0.259]], "sg": "No. 10", "raw_formation_energy_ev_per_atom": -1.302}

***

6.
{"formula": "TcPS", "functional": "GGA-PBE", "state": "relaxed", "cell": [[11.839, 0.000, 0.000], [0.000, 3.056, 0.000], [-2.685, 0.000, 5.792]], "species": ["Tc", "Tc", "Tc", "Tc", "P", "P", "P", "P", "S", "S", "S", "S"], "frac_coords": [[0.000, 0.000, 0.000], [0.243, 0.500, 0.661], [0.500, 0.500, 0.000], [0.743, 0.000, 0.661], [0.174, 0.000, 0.886], [0.323, 0.500, 0.092], [0.674, 0.500, 0.886], [0.823, 0.000, 0.092], [0.104, 0.500, 0.290], [0.399, 0.000, 0.661], [0.604, 0.000, 0.290], [0.899, 0.500, 0.661]], "sg": "No. 8", "raw_formation_energy_ev_per_atom": -0.287}

***

7.
{"formula": "NbP2N", "functional": "GGA-PBE", "state": "relaxed", "cell": [[5.503, 0.000, 0.000], [0.000, 5.503, 0.000], [0.000, 0.000, 7.275]], "species": ["Nb", "Nb", "Nb", "Nb", "P", "P", "P", "P", "P", "P", "P", "P", "N", "N", "N", "N"], "frac_coords": [[0.000, 0.000, 0.000], [0.000, 0.500, 0.250], [0.500, 0.000, 0.750], [0.500, 0.500, 0.500], [0.161, 0.250, 0.625], [0.250, 0.661, 0.875], [0.250, 0.839, 0.375], [0.339, 0.250, 0.125], [0.661, 0.750, 0.125], [0.750, 0.161, 0.375], [0.750, 0.339, 0.875], [0.839, 0.750, 0.625], [0.000, 0.000, 0.500], [0.000, 0.500, 0.750], [0.500, 0.000, 0.250], [0.500, 0.500, 0.000]], "sg": "No. 122", "raw_formation_energy_ev_per_atom": 0.265}

***

8.
{"formula": "RbLaGa2", "functional": "GGA-PBE", "state": "relaxed", "cell": [[8.596, 0.000, 0.000], [0.000, 8.596, 0.000], [0.000, 0.000, 8.596]], "species": ["Rb", "Rb", "Rb", "Rb", "La", "La", "La", "La", "Ga", "Ga", "Ga", "Ga", "Ga", "Ga", "Ga", "Ga"], "frac_coords": [[0.000, 0.000, 0.000], [0.000, 0.500, 0.500], [0.500, 0.000, 0.500], [0.500, 0.500, 0.000], [0.000, 0.000, 0.500], [0.000, 0.500, 0.000], [0.500, 0.000, 0.000], [0.500, 0.500, 0.500], [0.250, 0.250, 0.250], [0.250, 0.250, 0.750], [0.250, 0.750, 0.250], [0.250, 0.750, 0.750], [0.750, 0.250, 0.250], [0.750, 0.250, 0.750], [0.750, 0.750, 0.250], [0.750, 0.750, 0.750]], "e_form_ev_per_atom": 0.17, "sg": "No. 225"}

***

9.
{"formula": "CuSeBr2", "functional": "GGA-PBE", "state": "relaxed", "cell": [[7.140, 0.000, 0.000], [0.000, 7.140, 0.000], [0.000, 0.000, 7.140]], "species": ["Cu", "Cu", "Cu", "Cu", "Se", "Se", "Se", "Se", "Br", "Br", "Br", "Br", "Br", "Br", "Br", "Br"], "frac_coords": [[0.000, 0.000, 0.000], [0.000, 0.500, 0.500], [0.500, 0.000, 0.500], [0.500, 0.500, 0.000], [0.000, 0.000, 0.500], [0.000, 0.500, 0.000], [0.500, 0.000, 0.000], [0.500, 0.500, 0.500], [0.250, 0.250, 0.250], [0.250, 0.250, 0.750], [0.250, 0.750, 0.250], [0.250, 0.750, 0.750], [0.750, 0.250, 0.250], [0.750, 0.250, 0.750], [0.750, 0.750, 0.250], [0.750, 0.750, 0.750]], "sg": "No. 225", "raw_formation_energy_ev_per_atom": 0.663}

***

10.
{"formula": "KHgTe", "functional": "GGA-PBE", "state": "relaxed", "cell": [[5.831, 0.000, 0.000], [-2.915, 5.050, 0.000], [0.000, 0.000, 3.325]], "species": ["K", "Hg", "Te"], "frac_coords": [[0.000, 0.000, 0.000], [0.333, 0.667, 0.500], [0.667, 0.333, 0.500]], "sg": "No. 187", "raw_formation_energy_ev_per_atom": -0.455}

***

11.
{"formula": "TiCdTc", "functional": "GGA-PBE", "state": "relaxed", "cell": [[4.510, 0.000, 0.000], [0.000, 4.510, 0.000], [0.000, 0.000, 5.898]], "species": ["Ti", "Ti", "Cd", "Cd", "Tc", "Tc"], "frac_coords": [[0.250, 0.250, 0.185], [0.750, 0.750, 0.815], [0.250, 0.750, 0.500], [0.750, 0.250, 0.500], [0.250, 0.750, 0.000], [0.750, 0.250, 0.000]], "e_form_ev_per_atom": 0.43, "sg": "No. 129"}

***

12.
{"formula": "La2HoTmHg2", "functional": "GGA-PBE", "state": "relaxed", "cell": [[5.147, 0.000, 0.000], [0.000, 9.626, 0.000], [0.000, 0.000, 7.151]], "species": ["La", "La", "La", "La", "Ho", "Ho", "Tm", "Tm", "Hg", "Hg", "Hg", "Hg"], "frac_coords": [[0.000, 0.055, 0.000], [0.000, 0.945, 0.500], [0.500, 0.172, 0.308], [0.500, 0.828, 0.808], [0.500, 0.448, 0.967], [0.500, 0.552, 0.467], [0.000, 0.329, 0.653], [0.000, 0.671, 0.153], [0.000, 0.367, 0.224], [0.000, 0.633, 0.724], [0.500, 0.167, 0.751], [0.500, 0.833, 0.251]], "e_form_ev_per_atom": -0.34, "sg": "No. 26"}